[1]
Ba3Sm2PaP6 | GGA-PBE | optimized geometry

## Properties
energy of formation from the pure elements = -1.1900 eV per atom
space group = C2/m, No. 12

Unit cell a=7.4114 b=7.4114 c=7.7097 alpha=99.23 beta=99.23 gamma=120.01
Positions (direct):
1 Ba 0.1699 0.8301 0.5000
2 Ba 0.8301 0.1699 0.5000
3 Ba 0.5000 0.5000 0.5000
4 Sm 0.3339 0.6661 0.0000
5 Sm 0.6661 0.3339 0.0000
6 Pa 0.0000 0.0000 0.0000
7 P 0.9318 0.6125 0.7948
8 P 0.7506 0.7506 0.2071
9 P 0.0682 0.3875 0.2052
10 P 0.6125 0.9318 0.7948
11 P 0.2494 0.2494 0.7929
12 P 0.3875 0.0682 0.2052

[2]
KZrB3 | GGA-PBE | optimized geometry

## Properties
energy of formation from the pure elements = 1.4593 eV per atom
relative energy among the computed polymorphs = 0 kJ/mol of formula units
space group = Pm-3m, No. 221

Unit cell a=4.6605 b=4.6605 c=4.6605 alpha=90.00 beta=90.00 gamma=90.00
Positions (direct):
1 K 0.5000 0.5000 0.5000
2 B 0.0000 0.5000 0.0000
3 B 0.0000 0.0000 0.5000
4 B 0.5000 0.0000 0.0000
5 Zr 0.0000 0.0000 0.0000

[3]
ThSnSb | GGA-PBE | optimized geometry

## Properties
E_form (uncorrected) = -1.9 eV/f.u.
relative energy among the computed polymorphs = 0 kJ/mol of formula units
space group = I4/mmm, No. 139

Unit cell a=4.4397 b=4.4397 c=9.5111 alpha=103.50 beta=103.50 gamma=90.00
Positions (direct):
1 Th 0.3592 0.3592 0.7184
2 Th 0.6408 0.6408 0.2816
3 Sn 0.0000 0.5000 0.0000
4 Sn 0.5000 0.0000 0.0000
5 Sb 0.1781 0.1781 0.3562
6 Sb 0.8219 0.8219 0.6438

[4]
CsCrAsCl6 | GGA-PBE | optimized geometry

## Properties
E_form (uncorrected) = -9.6 eV/f.u.
space group = P1, No. 1

Unit cell a=6.6719 b=6.8799 c=7.6907 alpha=93.15 beta=91.67 gamma=59.02
Site moments in Bohr magnetons follow the coordinates.
Positions (direct):
1 Cs 0.0418 0.9795 0.0003  0.00
2 Cr 0.6759 0.6620 0.5002  3.58
3 As 0.3517 0.3240 0.4999  0.04
4 Cl 0.9700 0.4044 0.3031  -0.02
5 Cl 0.3802 0.9924 0.6624  -0.01
6 Cl 0.6160 0.3459 0.6982  0.02
7 Cl 0.9709 0.6255 0.6971  -0.02
8 Cl 0.3795 0.6274 0.3379  -0.01
9 Cl 0.6138 0.0387 0.3008  0.02

[5]
TmPdAu | GGA-PBE | optimized geometry

## Properties
energy of formation from the pure elements = -0.8839 eV per atom
relative energy among the computed polymorphs = 0 kJ/mol of formula units
space group = I4mm, No. 107

Unit cell a=3.6341 b=3.6341 c=5.1675 alpha=110.59 beta=110.59 gamma=90.00
Positions (direct):
1 Tm 0.6138 0.6138 0.2276
2 Au 0.2822 0.2822 0.5643
3 Pd 0.9540 0.9540 0.9081

[6]
BaAl2V | GGA-PBE | optimized geometry

## Properties
energy of formation from the pure elements = 0.4365 eV per atom
relative energy among the computed polymorphs = 11 kJ/mol of formula units
space group = Fm-3m, No. 225

Unit cell a=5.1642 b=5.1642 c=5.1642 alpha=60.00 beta=60.00 gamma=60.00
Site moments in Bohr magnetons follow the coordinates.
Positions (direct):
1 Ba 0.5000 0.5000 0.5000  0.02
2 Al 0.2500 0.2500 0.2500  -0.01
3 Al 0.7500 0.7500 0.7500  -0.01
4 V 0.0000 0.0000 0.0000  2.70

[7]
HoZn8Pd4 | GGA-PBE | optimized geometry

## Properties
energy of formation from the pure elements = -0.4445 eV per atom
space group = I4/mmm, No. 139

Unit cell a=5.4853 b=6.7741 c=6.7741 alpha=80.57 beta=66.12 gamma=66.12
Positions (direct):
1 Ho 0.0000 0.0000 0.0000
2 Zn 0.0000 0.3470 0.6530
3 Zn 0.0000 0.6530 0.3470
4 Zn 0.3470 0.6530 0.6530
5 Zn 0.6530 0.3470 0.3470
6 Zn 0.5000 0.7833 0.2167
7 Zn 0.5000 0.2167 0.7833
8 Zn 0.2833 0.2167 0.2167
9 Zn 0.7167 0.7833 0.7833
10 Pd 0.0000 0.0000 0.5000
11 Pd 0.5000 0.0000 0.5000
12 Pd 0.0000 0.5000 0.0000
13 Pd 0.5000 0.5000 0.0000

[8]
MgZnW | GGA-PBE | optimized geometry

## Properties
energy of formation from the pure elements = 0.2689 eV per atom
relative energy among the computed polymorphs = 3 kJ/mol of formula units
space group = I4mm, No. 107

Unit cell a=6.8491 b=6.8491 c=6.8491 alpha=156.92 beta=156.92 gamma=32.87
Positions (direct):
1 Mg 0.0001 0.0001 0.0000
2 W 0.3284 0.3284 0.0000
3 Zn 0.6715 0.6715 0.0000

[9]
Cs2RbBaPt | GGA-PBE | optimized geometry

## Properties
energy of formation from the pure elements = -0.0661 eV per atom
space group = P4/mmm, No. 123

Unit cell a=7.2005 b=7.2005 c=6.1899 alpha=90.00 beta=90.00 gamma=90.00
Positions (direct):
1 Cs 0.0000 0.5000 0.0000
2 Cs 0.5000 0.0000 0.0000
3 Rb 0.5000 0.5000 0.5000
4 Ba 0.0000 0.0000 0.5000
5 Pt 0.0000 0.0000 0.0000

[10]
NaAl4Ga12 | GGA-PBE | optimized geometry

## Properties
energy of formation from the pure elements = 0.1354 eV per atom
space group = Im-3, No. 204

Unit cell a=7.8283 b=7.8283 c=7.8283 alpha=109.47 beta=109.47 gamma=109.47
Positions (direct):
1 Na 0.0000 0.0000 0.0000
2 Al 0.0000 0.5000 0.0000
3 Al 0.5000 0.0000 0.0000
4 Al 0.5000 0.5000 0.5000
5 Al 0.0000 0.0000 0.5000
6 Ga 0.8501 0.3552 0.2053
7 Ga 0.3552 0.5051 0.1499
8 Ga 0.7947 0.1499 0.6448
9 Ga 0.3552 0.2053 0.8501
10 Ga 0.2053 0.8501 0.3552
11 Ga 0.6448 0.4949 0.8501
12 Ga 0.5051 0.1499 0.3552
13 Ga 0.4949 0.8501 0.6448
14 Ga 0.6448 0.7947 0.1499
15 Ga 0.8501 0.6448 0.4949
16 Ga 0.1499 0.3552 0.5051
17 Ga 0.1499 0.6448 0.7948

[11]
LaPIr2 | GGA-PBE | optimized geometry

## Properties
energy of formation from the pure elements = -0.8274 eV per atom
space group = P4mm, No. 99

Unit cell a=4.1041 b=4.1033 c=4.8254 alpha=89.97 beta=90.00 gamma=90.00
Positions (direct):
1 P 0.5000 0.8750 0.8469
2 Ir 0.0000 0.8750 0.0633
3 Ir 0.5000 0.3748 0.0634
4 La 0.0000 0.3752 0.5264

[12]
LaTcRu2 | GGA-PBE | optimized geometry

## Properties
energy of formation from the pure elements = 0.3767 eV per atom
relative energy among the computed polymorphs = 93 kJ/mol of formula units
space group = Imm2, No. 44

Unit cell a=5.7955 b=5.7955 c=5.7955 alpha=150.52 beta=131.01 gamma=58.21
Positions (direct):
1 La 0.7505 0.2505 0.5000
2 Ru 0.0287 0.0287 0.0000
3 Ru 0.2520 0.7520 0.5000
4 Tc 0.4687 0.4687 0.0000

[13]
BaInMoOs2 | GGA-PBE | optimized geometry

## Properties
energy of formation from the pure elements = 3.2291 eV per atom
space group = P4/mmm, No. 123

Unit cell a=5.0865 b=5.1645 c=5.0865 alpha=90.00 beta=90.00 gamma=90.00
Site moments in Bohr magnetons follow the coordinates.
Positions (direct):
1 Mo 0.0000 0.5000 0.0000  2.29
2 Os 0.0000 0.0000 0.5000  1.23
3 Os 0.5000 0.0000 0.0000  1.01
4 Ba 0.0000 0.0000 0.0000  -0.01
5 In 0.5000 0.5000 0.5000  0.01

[14]
NaYTi2Fe | GGA-PBE | optimized geometry

## Properties
energy of formation from the pure elements = 1.6166 eV per atom
space group = P4/mmm, No. 123

Unit cell a=5.0706 b=4.5754 c=5.0706 alpha=90.00 beta=90.00 gamma=90.00
Site moments in Bohr magnetons follow the coordinates.
Positions (direct):
1 Y 0.0000 0.0000 0.0000  0.01
2 Na 0.5000 0.5000 0.5000  0.00
3 Fe 0.0000 0.5000 0.0000  -0.11
4 Ti 0.0000 0.0000 0.5000  0.24
5 Ti 0.5000 0.0000 0.0000  0.38

[15]
AcPr6HoTm2 | GGA-PBE | optimized geometry

## Properties
energy of formation from the pure elements = 0.1178 eV per atom
space group = C2/c, No. 15

Unit cell a=9.7614 b=9.0801 c=9.0801 alpha=116.88 beta=93.02 gamma=93.02
Positions (direct):
1 Ac 0.2500 0.9698 0.0302
2 Ac 0.7500 0.0302 0.9698
3 Pr 0.0538 0.1187 0.7582
4 Pr 0.4462 0.2418 0.8813
5 Pr 0.9462 0.8813 0.2418
6 Pr 0.5538 0.7582 0.1187
7 Pr 0.3160 0.9976 0.4485
8 Pr 0.1840 0.5515 0.0024
9 Pr 0.6840 0.0024 0.5515
10 Pr 0.8160 0.4485 0.9976
11 Pr 0.1170 0.7081 0.4862
12 Pr 0.3830 0.5138 0.2919
13 Pr 0.8830 0.2919 0.5138
14 Pr 0.6170 0.4862 0.7081
15 Ho 0.2500 0.4135 0.5865
16 Ho 0.7500 0.5865 0.4135
17 Tm 0.4509 0.7931 0.6881
18 Tm 0.0491 0.3119 0.2069
19 Tm 0.5491 0.2069 0.3119
20 Tm 0.9509 0.6881 0.7931

[16]
Nd5Dy5Th2 | GGA-PBE | optimized geometry

## Properties
energy of formation from the pure elements = 0.0330 eV per atom
space group = C2/m, No. 12

Unit cell a=5.0890 b=10.8160 c=8.0799 alpha=98.35 beta=71.64 gamma=76.39
Positions (direct):
1 Nd 0.6664 0.2526 0.4147
2 Nd 0.9953 0.2548 0.7547
3 Nd 0.0047 0.7452 0.2453
4 Nd 0.3336 0.7474 0.5853
5 Nd 0.0000 0.0000 0.0000
6 Dy 0.0000 0.5000 0.5000
7 Dy 0.6704 0.7438 0.9153
8 Dy 0.3345 0.9979 0.3331
9 Dy 0.6655 0.0021 0.6669
10 Dy 0.3296 0.2562 0.0847
11 Th 0.3296 0.5016 0.8392
12 Th 0.6704 0.4984 0.1608

[17]
Y4Te5Se | GGA-PBE | optimized geometry

## Properties
E_form (uncorrected) = -14.2 eV/f.u.
space group = C2/m, No. 12

Unit cell a=4.2911 b=8.6902 c=9.6467 alpha=103.25 beta=102.85 gamma=90.00
Positions (direct):
1 Y 0.3312 0.9060 0.6625
2 Y 0.9972 0.7496 0.9944
3 Y 0.6688 0.0940 0.3375
4 Y 0.0028 0.2504 0.0056
5 Te 0.8353 0.6650 0.6706
6 Te 0.8361 0.1662 0.6723
7 Te 0.1639 0.8338 0.3277
8 Te 0.5000 0.5000 0.0000
9 Te 0.1647 0.3350 0.3294
10 Se 0.5000 0.0000 0.0000

[18]
VCrPBr | GGA-PBE | optimized geometry

## Properties
E_form (uncorrected) = -1.3 eV/f.u.
relative energy among the computed polymorphs = 0 kJ/mol of formula units
space group = P3m1, No. 156

Unit cell a=3.7590 b=3.7590 c=6.2320 alpha=90.00 beta=90.00 gamma=120.00
Site moments in Bohr magnetons follow the coordinates.
Positions (direct):
1 V 0.3333 0.6667 0.3896  -1.68
2 Cr 0.6667 0.3333 0.0944  2.86
3 P 0.0000 0.0000 0.2264  -0.02
4 Br 0.6667 0.3333 0.6809  0.01

[19]
NbBiO4F | GGA-PBE | optimized geometry

## Properties
E_form (uncorrected) = -13.1 eV/f.u.
space group = C2/m, No. 12

Unit cell a=6.0519 b=6.0519 c=8.1556 alpha=71.34 beta=71.34 gamma=75.59
Positions (direct):
1 Nb 0.6457 0.6457 0.7118
2 Nb 0.3543 0.3543 0.2882
3 Bi 0.1962 0.1962 0.8088
4 Bi 0.8038 0.8038 0.1912
5 O 0.2206 0.2206 0.5319
6 O 0.7794 0.7794 0.4681
7 O 0.1145 0.5203 0.1753
8 O 0.5554 0.5554 0.2677
9 O 0.4797 0.8855 0.8247
10 O 0.5203 0.1145 0.1753
11 O 0.4446 0.4446 0.7323
12 O 0.8855 0.4797 0.8247
13 F 0.0609 0.0609 0.1129
14 F 0.9391 0.9391 0.8871

[20]
K2Rb2Au2O | GGA-PBE | optimized geometry

## Properties
E_form (uncorrected) = -4.0 eV/f.u.
space group = C2/m, No. 12

Unit cell a=4.3481 b=8.6193 c=7.4677 alpha=64.36 beta=90.00 gamma=75.39
Site moments in Bohr magnetons follow the coordinates.
Positions (direct):
1 K 0.8270 0.3460 0.8263  0.00
2 K 0.1730 0.6540 0.1737  0.00
3 Rb 0.5004 0.9993 0.7528  0.00
4 Rb 0.4996 0.0007 0.2472  0.00
5 Au 0.8423 0.3154 0.3431  0.00
6 Au 0.1577 0.6846 0.6569  0.00
7 O 0.0000 0.0000 0.0000  0.07

[21]
Mn2GaPb | GGA-PBE | optimized geometry

## Properties
energy of formation from the pure elements = 0.4080 eV per atom
relative energy among the computed polymorphs = 0 kJ/mol of formula units
space group = Fm-3m, No. 225

Unit cell a=4.6354 b=4.6354 c=4.6354 alpha=60.00 beta=60.00 gamma=60.00
Site moments in Bohr magnetons follow the coordinates.
Positions (direct):
1 Pb 0.5000 0.5000 0.5000  0.07
2 Mn 0.2500 0.2500 0.2500  -3.30
3 Mn 0.7500 0.7500 0.7500  -3.30
4 Ga 0.0000 0.0000 0.0000  0.10

[22]
Rb2BeInI6 | GGA-PBE | optimized geometry

## Properties
E_form (uncorrected) = -7.5 eV/f.u.
space group = I4/mmm, No. 139

Unit cell a=8.2251 b=8.2251 c=8.2489 alpha=60.10 beta=60.10 gamma=90.00
Positions (direct):
1 I 0.2643 0.2643 0.4714
2 I 0.7357 0.7357 0.5286
3 I 0.2655 0.2655 0.0000
4 I 0.7345 0.7345 0.0000
5 I 0.7345 0.2655 0.0000
6 I 0.2655 0.7345 0.0000
7 Be 0.5000 0.5000 0.0000
8 Rb 0.7500 0.2500 0.5000
9 Rb 0.2500 0.7500 0.5000
10 In 0.0000 0.0000 0.0000

[23]
BeAg | GGA-PBE | optimized geometry

## Properties
energy of formation from the pure elements = 0.4405 eV per atom
space group = Fddd, No. 70

Unit cell a=2.7684 b=14.3920 c=11.5050 alpha=90.00 beta=90.00 gamma=90.00
Positions (direct):
1 Be 0.0000 0.0000 0.9065
2 Be 0.0000 0.0000 0.0935
3 Be 0.2500 0.7500 0.3435
4 Be 0.2500 0.7500 0.1565
5 Be 0.0000 0.5000 0.4065
6 Be 0.0000 0.5000 0.5935
7 Be 0.2500 0.2500 0.8435
8 Be 0.2500 0.2500 0.6565
9 Be 0.5000 0.0000 0.4065
10 Be 0.5000 0.0000 0.5935
11 Be 0.7500 0.7500 0.8435
12 Be 0.7500 0.7500 0.6565
13 Be 0.5000 0.5000 0.9065
14 Be 0.5000 0.5000 0.0935
15 Be 0.7500 0.2500 0.3435
16 Be 0.7500 0.2500 0.1565
17 Ag 0.0000 0.1531 0.0000
18 Ag 0.0000 0.8469 0.0000
19 Ag 0.2500 0.5969 0.2500
20 Ag 0.2500 0.9031 0.2500
21 Ag 0.0000 0.6531 0.5000
22 Ag 0.0000 0.3469 0.5000
23 Ag 0.2500 0.0969 0.7500
24 Ag 0.2500 0.4031 0.7500
25 Ag 0.5000 0.1531 0.5000
26 Ag 0.5000 0.8469 0.5000
27 Ag 0.7500 0.5969 0.7500
28 Ag 0.7500 0.9031 0.7500
29 Ag 0.5000 0.6531 0.0000
30 Ag 0.5000 0.3469 0.0000
31 Ag 0.7500 0.0969 0.2500
32 Ag 0.7500 0.4031 0.2500